Record 1
Here is a geometry-optimized Ce5YSn5 structure from Alexandria. Energies are from PBE-GGA.

Output
Uncorrected energy in eV/atom: -5.448
Total magnetization in μB/f.u.: 3.5
Formation enthalpy at 0 K in eV/atom: -0.34
SG: C2/m (12)

Unit cell a=7.781 b=7.781 c=8.749 alpha=106.33 beta=106.33 gamma=47.85
Element x y z (fractional)
1 Ce 0.000 0.000 0.000
2 Ce 0.335 0.335 0.166
3 Ce 0.335 0.335 0.669
4 Ce 0.665 0.665 0.331
5 Ce 0.665 0.665 0.834
6 Y 0.000 0.000 0.500
7 Sn 0.166 0.166 0.835
8 Sn 0.167 0.167 0.332
9 Sn 0.500 0.500 0.500
10 Sn 0.833 0.833 0.668
11 Sn 0.834 0.834 0.165

---

Record 2
Here is a geometry-optimized Ce2YSn9 structure from Alexandria. Energies are from PBE-GGA.

Output
Uncorrected energy in eV/atom: -5.030
Total magnetization in μB/f.u.: 0.9
Formation enthalpy at 0 K in eV/atom: -0.50
SG: P4/mmm (123)

Unit cell a=4.724 b=4.724 c=14.113 alpha=90.00 beta=90.00 gamma=90.00
Element x y z (fractional)
1 Ce 0.000 0.000 0.165
2 Ce 0.000 0.000 0.835
3 Y 0.000 0.000 0.500
4 Sn 0.000 0.500 0.000
5 Sn 0.000 0.500 0.334
6 Sn 0.000 0.500 0.666
7 Sn 0.500 0.000 0.000
8 Sn 0.500 0.000 0.334
9 Sn 0.500 0.000 0.666
10 Sn 0.500 0.500 0.167
11 Sn 0.500 0.500 0.500
12 Sn 0.500 0.500 0.833

---

Record 3
Here is a geometry-optimized CeY2Sn structure from Alexandria. Energies are from PBE-GGA.

Output
Uncorrected energy in eV/atom: -5.991
Total magnetization in μB/f.u.: 1.4
Excess energy over the best structure of this formula in the dataset in meV/atom: 114
Formation enthalpy at 0 K in eV/atom: -0.27
SG: P4/mmm (123)

Unit cell a=3.993 b=3.993 c=7.209 alpha=90.00 beta=90.00 gamma=90.00
Element x y z (fractional)
1 Ce 0.000 0.000 0.000
2 Y 0.500 0.500 0.276
3 Y 0.500 0.500 0.724
4 Sn 0.000 0.000 0.500

---

Record 4
Here is a geometry-optimized CeYSn2 structure from Alexandria. Energies are from PBE-GGA.

Output
Uncorrected energy in eV/atom: -5.717
Total magnetization in μB/f.u.: 1.0
Formation enthalpy at 0 K in eV/atom: -0.62
SG: P4/mmm (123)

Unit cell a=4.953 b=4.953 c=4.441 alpha=90.00 beta=90.00 gamma=90.00
Element x y z (fractional)
1 Ce 0.000 0.000 0.000
2 Y 0.500 0.500 0.000
3 Sn 0.000 0.500 0.500
4 Sn 0.500 0.000 0.500

---

Record 5
Here is a geometry-optimized Ce5YSn3 structure from Alexandria. Energies are from PBE-GGA.

Output
Uncorrected energy in eV/atom: -5.827
Total magnetization in μB/f.u.: 7.8
Formation enthalpy at 0 K in eV/atom: -0.48
SG: P6_3/mcm (193)

Unit cell a=9.468 b=9.468 c=6.642 alpha=90.00 beta=90.00 gamma=120.00
Element x y z (fractional)
1 Ce 0.000 0.343 0.250
2 Ce 0.000 0.657 0.750
3 Ce 0.333 0.667 0.000
4 Ce 0.333 0.667 0.500
5 Ce 0.343 0.000 0.250
6 Ce 0.343 0.343 0.750
7 Ce 0.657 0.000 0.750
8 Ce 0.657 0.657 0.250
9 Ce 0.667 0.333 0.000
10 Ce 0.667 0.333 0.500
11 Y 0.000 0.000 0.000
12 Y 0.000 0.000 0.500
13 Sn 0.000 0.323 0.750
14 Sn 0.000 0.677 0.250
15 Sn 0.323 0.000 0.750
16 Sn 0.323 0.323 0.250
17 Sn 0.677 0.000 0.250
18 Sn 0.677 0.677 0.750

---

Record 6
Here is a geometry-optimized Ce2YZn2Sn2 structure from Alexandria. Energies are from PBE-GGA.

Output
Uncorrected energy in eV/atom: -4.467
Total magnetization in μB/f.u.: 2.2
Formation enthalpy at 0 K in eV/atom: -0.34
SG: R-3m (166)

Unit cell a=9.751 b=9.751 c=9.751 alpha=26.88 beta=26.88 gamma=26.88
Element x y z (fractional)
1 Ce 0.142 0.142 0.142
2 Ce 0.858 0.858 0.858
3 Y 0.000 0.000 0.000
4 Zn 0.419 0.419 0.419
5 Zn 0.581 0.581 0.581
6 Sn 0.269 0.269 0.269
7 Sn 0.731 0.731 0.731

---

Record 7
Here is a geometry-optimized Ce3Zn4Sn2 structure from Alexandria. Energies are from PBE-GGA.

Output
Uncorrected energy in eV/atom: -3.860
Total magnetization in μB/f.u.: 2.2
Formation enthalpy at 0 K in eV/atom: -0.43
SG: C2/m (12)

Unit cell a=6.022 b=6.022 c=8.807 alpha=109.55 beta=109.55 gamma=45.11
Element x y z (fractional)
1 Ce 0.000 0.000 0.000
2 Ce 0.331 0.331 0.331
3 Ce 0.669 0.669 0.669
4 Zn 0.021 0.021 0.366
5 Zn 0.252 0.252 0.932
6 Zn 0.748 0.748 0.068
7 Zn 0.979 0.979 0.634
8 Sn 0.386 0.386 0.721
9 Sn 0.614 0.614 0.279

---

Record 8
Here is a geometry-optimized CeZnSn structure from Alexandria. Energies are from PBE-GGA.

Output
Uncorrected energy in eV/atom: -4.229
Total magnetization in μB/f.u.: 1.0
Formation enthalpy at 0 K in eV/atom: -0.49
SG: P-6m2 (187)

Unit cell a=4.612 b=4.612 c=12.119 alpha=90.00 beta=90.00 gamma=120.00
Element x y z (fractional)
1 Ce 0.000 0.000 0.000
2 Ce 0.000 0.000 0.332
3 Ce 0.000 0.000 0.668
4 Zn 0.333 0.667 0.127
5 Zn 0.333 0.667 0.873
6 Zn 0.667 0.333 0.500
7 Sn 0.333 0.667 0.500
8 Sn 0.667 0.333 0.176
9 Sn 0.667 0.333 0.824

---

Record 9
Here is a geometry-optimized CeZnSn structure from Alexandria. Energies are from PBE-GGA.

Output
Uncorrected energy in eV/atom: -3.988
Total magnetization in μB/f.u.: 1.3
Formation enthalpy at 0 K in eV/atom: -0.25
SG: I4mm (107)

Unit cell a=6.353 b=6.353 c=6.353 alpha=147.78 beta=147.78 gamma=46.21
Element x y z (fractional)
1 Ce 0.000 0.000 0.000
2 Zn 0.667 0.667 0.000
3 Sn 0.301 0.301 0.000

---

Record 10
Here is a geometry-optimized CeZnSn structure from Alexandria. Energies are from PBE-GGA.

Output
Uncorrected energy in eV/atom: -4.208
Total magnetization in μB/f.u.: 0.8
Formation enthalpy at 0 K in eV/atom: -0.47
SG: P6_3/mmc (194)

Unit cell a=4.751 b=4.751 c=7.377 alpha=90.00 beta=90.00 gamma=120.00
Element x y z (fractional)
1 Ce 0.000 0.000 0.000
2 Ce 0.000 0.000 0.500
3 Zn 0.333 0.667 0.250
4 Zn 0.667 0.333 0.750
5 Sn 0.333 0.667 0.750
6 Sn 0.667 0.333 0.250

---

Record 11
Here is a geometry-optimized Ce3ZnSn3 structure from Alexandria. Energies are from PBE-GGA.

Output
Uncorrected energy in eV/atom: -4.975
Total magnetization in μB/f.u.: 3.1
Formation enthalpy at 0 K in eV/atom: -0.53
SG: C2/m (12)

Unit cell a=6.271 b=6.271 c=15.241 alpha=107.17 beta=107.17 gamma=42.65
Element x y z (fractional)
1 Ce 0.021 0.021 0.385
2 Ce 0.099 0.099 0.921
3 Ce 0.237 0.237 0.230
4 Ce 0.763 0.763 0.770
5 Ce 0.901 0.901 0.079
6 Ce 0.979 0.979 0.615
7 Zn 0.276 0.276 0.614
8 Zn 0.724 0.724 0.386
9 Sn 0.352 0.352 0.453
10 Sn 0.373 0.373 0.924
11 Sn 0.483 0.483 0.767
12 Sn 0.517 0.517 0.233
13 Sn 0.627 0.627 0.076
14 Sn 0.648 0.648 0.547

---

Record 12
Here is a geometry-optimized Ce5ZnSn4 structure from Alexandria. Energies are from PBE-GGA.

Output
Uncorrected energy in eV/atom: -5.204
Total magnetization in μB/f.u.: 4.4
Formation enthalpy at 0 K in eV/atom: -0.51
SG: P4/mmm (123)

Unit cell a=4.122 b=4.122 c=15.731 alpha=90.00 beta=90.00 gamma=90.00
Element x y z (fractional)
1 Ce 0.000 0.000 0.000
2 Ce 0.000 0.000 0.204
3 Ce 0.000 0.000 0.407
4 Ce 0.000 0.000 0.593
5 Ce 0.000 0.000 0.796
6 Zn 0.500 0.500 0.500
7 Sn 0.500 0.500 0.102
8 Sn 0.500 0.500 0.309
9 Sn 0.500 0.500 0.691
10 Sn 0.500 0.500 0.898

---

Record 13
Here is a geometry-optimized Ce6ZnSn structure from Alexandria. Energies are from PBE-GGA.

Output
Uncorrected energy in eV/atom: -5.319
Total magnetization in μB/f.u.: 5.1
Formation enthalpy at 0 K in eV/atom: -0.21
SG: P4/mmm (123)

Unit cell a=4.733 b=4.733 c=9.348 alpha=90.00 beta=90.00 gamma=90.00
Element x y z (fractional)
1 Ce 0.000 0.000 0.000
2 Ce 0.000 0.000 0.500
3 Ce 0.000 0.500 0.243
4 Ce 0.000 0.500 0.757
5 Ce 0.500 0.000 0.243
6 Ce 0.500 0.000 0.757
7 Zn 0.500 0.500 0.000
8 Sn 0.500 0.500 0.500

---

Record 14
Here is a geometry-optimized Ce2ZnSn2 structure from Alexandria. Energies are from PBE-GGA.

Output
Uncorrected energy in eV/atom: -4.664
Total magnetization in μB/f.u.: 1.9
Formation enthalpy at 0 K in eV/atom: -0.43
SG: Cmc2_1 (36)

Unit cell a=8.763 b=8.763 c=6.973 alpha=90.00 beta=90.00 gamma=148.36
Element x y z (fractional)
1 Ce 0.008 0.992 0.500
2 Ce 0.206 0.794 0.794
3 Ce 0.794 0.206 0.294
4 Ce 0.992 0.008 0.000
5 Zn 0.406 0.594 0.673
6 Zn 0.594 0.406 0.173
7 Sn 0.170 0.830 0.266
8 Sn 0.424 0.576 0.261
9 Sn 0.576 0.424 0.761
10 Sn 0.830 0.170 0.766

---

Record 15
Here is a geometry-optimized CeZn2Sn2 structure from Alexandria. Energies are from PBE-GGA.

Output
Uncorrected energy in eV/atom: -3.650
Total magnetization in μB/f.u.: 0.5
Formation enthalpy at 0 K in eV/atom: -0.35
SG: Cmcm (63)

Unit cell a=11.420 b=11.420 c=4.483 alpha=90.00 beta=90.00 gamma=157.55
Element x y z (fractional)
1 Ce 0.139 0.861 0.750
2 Ce 0.861 0.139 0.250
3 Zn 0.030 0.970 0.250
4 Zn 0.464 0.536 0.250
5 Zn 0.536 0.464 0.750
6 Zn 0.970 0.030 0.750
7 Sn 0.250 0.750 0.250
8 Sn 0.382 0.618 0.750
9 Sn 0.618 0.382 0.250
10 Sn 0.750 0.250 0.750

---

Record 16
Here is a geometry-optimized CeZn4Sn structure from Alexandria. Energies are from PBE-GGA.

Output
Uncorrected energy in eV/atom: -2.618
Total magnetization in μB/f.u.: 1.0
Formation enthalpy at 0 K in eV/atom: -0.11
SG: F-43m (216)

Unit cell a=5.535 b=5.535 c=5.535 alpha=60.00 beta=60.00 gamma=60.00
Element x y z (fractional)
1 Ce 0.000 0.000 0.000
2 Zn 0.375 0.375 0.375
3 Zn 0.375 0.375 0.876
4 Zn 0.375 0.876 0.375
5 Zn 0.876 0.375 0.375
6 Sn 0.750 0.750 0.750

---

Record 17
Here is a geometry-optimized CeZnSn structure from Alexandria. Energies are from PBE-GGA.

Output
Uncorrected energy in eV/atom: -4.247
Total magnetization in μB/f.u.: 0.9
Formation enthalpy at 0 K in eV/atom: -0.51
SG: P6_3/mmc (194)

Unit cell a=4.589 b=4.589 c=16.403 alpha=90.00 beta=90.00 gamma=120.00
Element x y z (fractional)
1 Ce 0.000 0.000 0.000
2 Ce 0.000 0.000 0.250
3 Ce 0.000 0.000 0.500
4 Ce 0.000 0.000 0.750
5 Zn 0.333 0.667 0.156
6 Zn 0.333 0.667 0.344
7 Zn 0.667 0.333 0.656
8 Zn 0.667 0.333 0.844
9 Sn 0.333 0.667 0.617
10 Sn 0.333 0.667 0.883
11 Sn 0.667 0.333 0.117
12 Sn 0.667 0.333 0.383

---

Record 18
Here is a geometry-optimized Ce2Zn3Sn structure from Alexandria. Energies are from PBE-GGA.

Output
Uncorrected energy in eV/atom: -3.665
Total magnetization in μB/f.u.: 2.3
Excess energy over the best structure of this formula in the dataset in meV/atom: 0
Formation enthalpy at 0 K in eV/atom: -0.38
SG: Fmmm (69)

Unit cell a=9.288 b=8.835 c=5.920 alpha=75.13 beta=66.84 gamma=38.03
Element x y z (fractional)
1 Ce 0.241 0.759 0.759
2 Ce 0.250 0.250 0.250
3 Ce 0.750 0.750 0.750
4 Ce 0.759 0.241 0.241
5 Zn 0.162 0.162 0.838
6 Zn 0.164 0.675 0.325
7 Zn 0.325 0.836 0.164
8 Zn 0.675 0.164 0.836
9 Zn 0.836 0.325 0.675
10 Zn 0.838 0.838 0.162
11 Sn 0.335 0.335 0.665
12 Sn 0.665 0.665 0.335

---

Record 19
Here is a geometry-optimized Ce2Zn3Sn structure from Alexandria. Energies are from PBE-GGA.

Output
Uncorrected energy in eV/atom: -3.644
Total magnetization in μB/f.u.: 2.0
Excess energy over the best structure of this formula in the dataset in meV/atom: 21
Formation enthalpy at 0 K in eV/atom: -0.36
SG: Pmm2 (25)

Unit cell a=3.627 b=4.632 c=8.097 alpha=90.00 beta=90.00 gamma=90.00
Element x y z (fractional)
1 Ce 0.000 0.000 0.000
2 Ce 0.000 0.500 0.476
3 Zn 0.500 0.000 0.319
4 Zn 0.500 0.000 0.639
5 Zn 0.500 0.500 0.164
6 Sn 0.500 0.500 0.820

---

Record 20
Here is a geometry-optimized CeZn9Sn2 structure from Alexandria. Energies are from PBE-GGA.

Output
Uncorrected energy in eV/atom: -2.199
Total magnetization in μB/f.u.: 0.9
Formation enthalpy at 0 K in eV/atom: -0.08
SG: R-3m (166)

Unit cell a=8.918 b=8.918 c=8.918 alpha=36.28 beta=36.28 gamma=36.28
Element x y z (fractional)
1 Ce 0.000 0.000 0.000
2 Zn 0.082 0.584 0.584
3 Zn 0.332 0.332 0.332
4 Zn 0.416 0.416 0.918
5 Zn 0.416 0.918 0.416
6 Zn 0.500 0.500 0.500
7 Zn 0.584 0.082 0.584
8 Zn 0.584 0.584 0.082
9 Zn 0.668 0.668 0.668
10 Zn 0.918 0.416 0.416
11 Sn 0.136 0.136 0.136
12 Sn 0.864 0.864 0.864